1.
A plane-wave DFT calculation with GGA-PBE was carried out for CaBPt2Rh after structural relaxation.

POSCAR file:
```
CaBPt2Rh
1.0
4.282 0.000 0.000
0.000 4.282 0.000
0.000 0.000 4.236
Ca B Pt Rh
1 1 2 1
Cartesian
0.000 0.000 0.000
2.141 2.141 2.118
0.000 2.141 2.118
2.141 0.000 2.118
2.141 2.141 0.000
```

Values from the calculation:
N(E_F)   0.78 states/eV/cell
Energy of formation   -656 meV/atom
Spin magnetization   0.00 μB per formula unit
Symmetry   No. 123



2.
A plane-wave DFT calculation with GGA-PBE was carried out for Na2HfPbS4 after structural relaxation.

POSCAR file:
```
Na2HfPbS4
1.0
6.995 0.000 0.000
0.000 3.897 0.000
-2.261 0.000 6.741
Na Hf Pb S
2 1 1 4
Cartesian
0.000 0.000 0.000
-1.130 1.949 3.371
2.367 0.000 3.371
3.498 1.949 0.000
0.283 0.000 4.825
1.328 1.949 1.938
3.407 1.949 4.804
4.451 0.000 1.917
```

Values from the calculation:
Spin magnetization   0.00 μB per formula unit
Symmetry   No. 10
Formation energy from raw total energies   -1.187 eV per atom



3.
A plane-wave DFT calculation with GGA-PBE was carried out for Tb4Ge2N after structural relaxation.

POSCAR file:
```
Tb4Ge2N
1.0
4.628 0.000 0.000
0.000 4.628 0.000
0.000 0.000 15.317
Tb Ge N
8 4 2
Cartesian
0.000 0.000 2.587
0.000 0.000 12.730
0.000 2.314 0.000
0.000 2.314 7.659
2.314 0.000 0.000
2.314 0.000 7.659
2.314 2.314 5.071
2.314 2.314 10.246
0.000 0.000 5.545
0.000 0.000 9.772
2.314 2.314 2.113
2.314 2.314 13.204
0.000 0.000 0.000
2.314 2.314 7.659
```

Values from the calculation:
N(E_F)   9.25 states/eV/cell
Spin magnetization   0.00 μB per formula unit
Symmetry   No. 139
Formation energy from raw total energies   -0.966 eV per atom



4.
A plane-wave DFT calculation with GGA-PBE was carried out for LaMg6Si2 after structural relaxation.

POSCAR file:
```
LaMg6Si2
1.0
4.358 0.000 0.000
0.000 4.358 0.000
0.000 0.000 10.446
La Mg Si
1 6 2
Cartesian
0.000 0.000 0.000
0.000 0.000 5.223
0.000 2.179 2.861
0.000 2.179 7.585
2.179 0.000 2.861
2.179 0.000 7.585
2.179 2.179 5.223
2.179 2.179 1.193
2.179 2.179 9.253
```

Values from the calculation:
N(E_F)   3.69 states/eV/cell
Spin magnetization   0.00 μB per formula unit
Symmetry   No. 123
Formation energy from raw total energies   -0.254 eV per atom